DFT (PBE with a Hubbard U) results for a relaxed PaCrCd2O8 crystal.

Values from the calculation:
DFT total energy = -6.44 eV per atom
space-group type = No. 119

```
PaCrCd2O8
1.0
6.1705 0.3005 0.0000
-2.4675 5.6636 0.0000
-1.8515 -2.9821 5.0838
Pa Cr Cd O
1 1 2 8
direct
0.0000 0.0000 0.0000
0.2500 0.7500 0.5000
0.7500 0.2500 0.5000
0.5000 0.5000 0.0000
0.4033 0.2046 0.1986
0.3915 0.7053 0.3138
0.3915 0.0777 0.6862
0.0060 0.2046 0.8014
0.9223 0.6085 0.3138
0.7954 0.9940 0.1986
0.7954 0.5967 0.8014
0.2947 0.6085 0.6862
```